First-principles (PBE-GGA) data for a geometry-optimized MgGa2Fe structure, as listed in OQMD via LeMat-Bulk.

abc: 4.4572 4.4572 4.4572
angles: 60.00 60.00 60.00
Fractional positions:
Fe1 0.2500 0.2500 0.2500
Ga1 0.0000 0.0000 0.0000
Ga2 0.7500 0.7500 0.7500
Mg1 0.5000 0.5000 0.5000

Computed properties:
Total moment ... 2.01 μB per formula unit
Energy ... -3.785 eV per atom


First-principles (PBE-GGA) data for a geometry-optimized PaAlIr structure, as listed in OQMD via LeMat-Bulk.

abc: 4.6371 4.6371 4.6371
angles: 60.00 60.00 60.00
Fractional positions:
Al1 0.2500 0.2500 0.2500
Ir1 0.7500 0.7500 0.7500
Pa1 0.0000 0.0000 0.0000

Computed properties:
Total moment ... 0.00 μB per formula unit
Energy ... -7.131 eV per atom


First-principles (PBE-GGA) data for a geometry-optimized NdDy3Pt4 structure, as listed in OQMD via LeMat-Bulk.

abc: 5.5964 4.5367 7.1057
angles: 90.00 90.59 90.00
Fractional positions:
Dy1 0.3599 0.0000 0.1814
Dy2 0.8586 0.5000 0.3157
Dy3 0.6402 0.5000 0.8197
Nd1 0.1411 0.0000 0.6824
Pt1 0.8397 0.0000 0.0488
Pt2 0.3495 0.5000 0.4456
Pt3 0.6539 0.0000 0.5394
Pt4 0.1570 0.5000 0.9670

Computed properties:
Formation energy ... -1.25 eV/atom
Total moment ... 0.00 μB per formula unit
Energy ... -6.597 eV per atom


> Look up the energy of the first one.

-3.785 eV per atom


> Look up the energy of the second one.

-7.131 eV per atom


> Look up the total moment of the second one.

0.00 μB per formula unit